## NiTe3C (PBE-GGA)

Data for an optimized crystal structure of NiTe3C.

Lattice parameters (Å, degrees): 5.0025 5.0025 5.0025 90.00 90.00 90.00
Positions (direct):
Ni 0.0000 0.0000 0.0000
Te 0.0000 0.0000 0.5000
Te 0.0000 0.5000 0.0000
Te 0.5000 0.0000 0.0000
C 0.5000 0.5000 0.5000

The energy above the most stable polymorph in this dataset is 331 meV/atom. The space group is Pm-3m. The calculation puts the total DFT energy (no corrections) at -3.293 eV/atom.

=====

## NiTeC (PBE-GGA)

Data for an optimized crystal structure of NiTeC.

Lattice parameters (Å, degrees): 3.5057 4.8458 4.8458 36.30 90.00 90.00
Positions (direct):
Ni 0.0000 0.0000 0.0000
Te 0.5000 0.7797 0.7797
C 0.0000 0.6106 0.6106

The energy above the most stable polymorph in this dataset is 462 meV/atom. The space group is Amm2. The calculation puts the total DFT energy (no corrections) at -5.166 eV/atom.

=====

## NiTeC (PBE-GGA)

Data for an optimized crystal structure of NiTeC.

Lattice parameters (Å, degrees): 8.9121 8.9121 3.7103 95.50 95.50 21.01
Positions (direct):
Ni 0.0000 0.0000 0.0000
Ni 0.5324 0.5324 0.5071
Te 0.2117 0.2117 0.8537
Te 0.9011 0.9011 0.4568
C 0.5647 0.5647 0.0313
C 0.6302 0.6302 0.8431

The energy above the most stable polymorph in this dataset is 0 meV/atom. The space group is Cm. The calculation puts the total DFT energy (no corrections) at -5.628 eV/atom.

=====

## NiTeC (PBE-GGA)

Data for an optimized crystal structure of NiTeC.

Lattice parameters (Å, degrees): 5.0482 3.6137 5.9337 90.00 113.10 90.00
Positions (direct):
Ni 0.0000 0.0000 0.0000
Ni 0.4294 0.5000 0.2461
Te 0.1819 0.5000 0.7898
Te 0.5575 0.0000 0.5896
C 0.0296 0.5000 0.1996
C 0.7847 0.5000 0.2198

The energy above the most stable polymorph in this dataset is 49 meV/atom. The space group is Pm. The calculation puts the total DFT energy (no corrections) at -5.579 eV/atom.

=====

## NiTe2C (PBE-GGA)

Data for an optimized crystal structure of NiTe2C.

Lattice parameters (Å, degrees): 6.6443 6.6443 6.6443 131.35 131.35 71.25
Positions (direct):
Ni 0.0000 0.0000 0.0000
Ni 0.7500 0.2500 0.5000
Te 0.1456 0.6250 0.0206
Te 0.3750 0.3956 0.5206
Te 0.6044 0.1250 0.9794
Te 0.8750 0.8544 0.4794
C 0.2500 0.7500 0.5000
C 0.5000 0.5000 0.0000

The space group is I-42d. The calculation puts the total DFT energy (no corrections) at -4.599 eV/atom.

=====

## NiTeC (PBE-GGA)

Data for an optimized crystal structure of NiTeC.

Lattice parameters (Å, degrees): 3.8076 4.3217 7.2504 106.12 92.35 105.42
Positions (direct):
Ni 0.0000 0.0000 0.0000
Ni 0.3819 0.5896 0.9890
Te 0.0960 0.3507 0.4322
Te 0.4590 0.9857 0.7627
C 0.0442 0.4511 0.1685
C 0.8679 0.6147 0.0810

The energy above the most stable polymorph in this dataset is 33 meV/atom. The space group is P1. The calculation puts the total DFT energy (no corrections) at -5.595 eV/atom.

=====

## NiTe2C (PBE-GGA)

Data for an optimized crystal structure of NiTe2C.

Lattice parameters (Å, degrees): 8.1555 8.1555 8.1555 23.96 23.96 23.96
Positions (direct):
Ni 0.0000 0.0000 0.0000
Te 0.1020 0.1020 0.1020
Te 0.8980 0.8980 0.8980
C 0.5000 0.5000 0.5000

The space group is R-3m. The calculation puts the total DFT energy (no corrections) at -4.002 eV/atom.

=====

## NiTeC2 (PBE-GGA)

Data for an optimized crystal structure of NiTeC2.

Lattice parameters (Å, degrees): 5.8722 5.8722 5.8722 131.97 131.97 70.28
Positions (direct):
Ni 0.0000 0.0000 0.0000
Ni 0.7500 0.2500 0.5000
Te 0.2500 0.7500 0.5000
Te 0.5000 0.5000 0.0000
C 0.0679 0.6250 0.9429
C 0.3750 0.3179 0.4429
C 0.6821 0.1250 0.0571
C 0.8750 0.9321 0.5571

The space group is I-42d. The calculation puts the total DFT energy (no corrections) at -5.524 eV/atom.

=====

- total DFT energy (no corrections) of number 8 (NiTeC2)?
  -5.524 eV/atom